{
  "formula": "K2Zn3SiAs4",
  "functional": "PBEsol",
  "state": "optimized geometry",
  "lattice_angstrom": [[2.837, -7.075, 0.000], [2.837, 7.075, 0.000], [0.000, 0.000, 5.641]],
  "species": ["K", "K", "Zn", "Zn", "Zn", "Si", "As", "As", "As", "As"],
  "frac_coords": [[0.000, 0.500, 0.246], [0.500, 0.000, 0.754], [0.000, 0.000, 0.000], [0.500, 0.500, 0.000], [0.500, 0.500, 0.500], [0.000, 0.000, 0.500], [0.127, 0.343, 0.735], [0.343, 0.127, 0.265], [0.657, 0.873, 0.265], [0.873, 0.657, 0.735]],
  "total_energy_ev_per_atom": -3.643,
  "dos_ef_per_ev_cell": 0.61
}